Entry 1:
{"formula": "LaCu2Ru", "functional": "PBE-GGA", "state": "relaxed", "cell": [[3.957, 0.000, 0.000], [0.000, 3.957, 0.000], [0.000, 0.000, 4.404]], "species": ["La", "Cu", "Cu", "Ru"], "frac_coords": [[0.000, 0.000, 0.000], [0.000, 0.500, 0.500], [0.500, 0.000, 0.500], [0.500, 0.500, 0.000]], "e_tot_ev_per_cell": -22.09, "e_form_ev_per_atom": 0.0769, "rho_g_cm3": 8.84, "de_polymorph_ev_per_atom": 0.1351}

***

Entry 2:
{"formula": "YHCl2", "functional": "PBE-GGA", "state": "relaxed", "cell": [[-4.948, 4.948, 2.103], [4.948, -4.948, 2.103], [4.948, 4.948, -2.103]], "species": ["Y", "Y", "H", "H", "Cl", "Cl", "Cl", "Cl"], "frac_coords": [[0.000, 0.000, 0.000], [0.750, 0.250, 0.500], [0.250, 0.750, 0.500], [0.500, 0.500, 0.000], [0.375, 0.209, 0.334], [0.791, 0.125, 0.166], [0.875, 0.041, 0.666], [0.959, 0.625, 0.834]], "e_tot_ev_per_cell": -39.61, "rho_g_cm3": 2.59}

***

Entry 3:
{"formula": "TcMo2Pb", "functional": "PBE-GGA", "state": "relaxed", "cell": [[-2.018, 2.018, 4.213], [2.018, -2.018, 4.213], [2.018, 2.018, -4.213]], "species": ["Tc", "Mo", "Mo", "Pb"], "frac_coords": [[0.000, 0.000, 0.000], [0.250, 0.750, 0.500], [0.500, 0.500, 0.000], [0.750, 0.250, 0.500]], "e_tot_ev_per_cell": -33.41, "e_form_ev_per_atom": 0.5828, "rho_g_cm3": 12.03}

***

Entry 4:
{"formula": "Ag5P4", "functional": "PBE-GGA", "state": "relaxed", "cell": [[-4.921, 4.921, 1.582], [4.921, -4.921, 1.582], [4.921, 4.921, -1.582]], "species": ["Ag", "Ag", "Ag", "Ag", "Ag", "P", "P", "P", "P"], "frac_coords": [[0.000, 0.000, 0.000], [0.335, 0.335, 0.670], [0.335, 0.665, 0.000], [0.665, 0.335, 0.000], [0.665, 0.665, 0.330], [0.000, 0.352, 0.352], [0.000, 0.648, 0.648], [0.352, 0.000, 0.352], [0.648, 0.000, 0.648]], "e_tot_ev_per_cell": -31.90, "e_form_ev_per_atom": 0.4435, "rho_g_cm3": 7.19, "de_polymorph_ev_per_atom": 0.0287}